*one*
Here is InWN2F after structural relaxation from Alexandria. Energies are from PBE+U.

Lattice parameters (Å, degrees): 4.0734 4.0734 4.2858 90.00 90.00 90.00
Each line ends with the local moment (μB).
Fractional positions:
N (0.0000, 0.5000, 0.0000)  -0.36
N (0.5000, 0.0000, 0.0000)  -0.36
F (0.0000, 0.0000, 0.5000)  0.02
W (0.0000, 0.0000, 0.0000)  1.30
In (0.5000, 0.5000, 0.5000)  -0.04

Summary:
As for the density of states at the Fermi level: 1.97 states/eV/f.u.

---

*two*
Here is InWN2F after structural relaxation from Alexandria. Energies are from PBE+U.

Lattice parameters (Å, degrees): 4.2227 4.2227 4.0542 90.00 90.00 90.00
Each line ends with the local moment (μB).
Fractional positions:
N (0.0000, 0.5000, 0.0000)  -0.30
N (0.5000, 0.0000, 0.0000)  -0.30
F (0.0000, 0.0000, 0.5000)  0.04
W (0.5000, 0.5000, 0.5000)  3.02
In (0.0000, 0.0000, 0.0000)  0.01

Summary:
As for the density of states at the Fermi level: 1.37 states/eV/f.u.

---

It comes down to *one*, which is 100.8 kJ/mol of atoms more stable than the next structure.